<i>
Here is a geometry-optimized Eu2DyTl structure from the Alexandria database. Energies are from PBE-GGA.

a = 3.736 Å, b = 3.736 Å, c = 9.750 Å
α = 90.00°, β = 90.00°, γ = 90.00°
Space group P4/mmm (No. 123)
Inequivalent atoms, fractional coordinates:
Eu 0.000 0.000 0.226 [2 per cell]
Dy 0.500 0.500 0.500 [1 per cell]
Tl 0.500 0.500 0.000 [1 per cell]

Summary:
Spin magnetization (μB/atom): 3.880
Density (g/cm³): 8.19
Density of states at the Fermi level (states/eV per cell): 3.9

***

<ii>
Here is a geometry-optimized Eu2DyTl structure from the Alexandria database. Energies are from PBE-GGA.

a = 8.050 Å, b = 8.050 Å, c = 8.050 Å
α = 90.00°, β = 90.00°, γ = 90.00°
Space group Fm-3m (No. 225)
Inequivalent atoms, fractional coordinates:
Eu 0.250 0.250 0.250 [8 per cell]
Dy 0.000 0.000 0.000 [4 per cell]
Tl 0.000 0.000 0.500 [4 per cell]

Summary:
Spin magnetization (μB/atom): 3.573
Density (g/cm³): 8.54
Density of states at the Fermi level (states/eV per cell): 12.2

***

Short version: <i>, <ii>, most stable first.

***

<i>
Here is a geometry-optimized Eu2DyTl structure from the Alexandria database. Energies are from PBE-GGA.

a = 4.923 Å, b = 4.923 Å, c = 5.214 Å
α = 90.00°, β = 90.00°, γ = 90.00°
Space group P4/mmm (No. 123)
Inequivalent atoms, fractional coordinates:
Eu 0.000 0.500 0.000 [2 per cell]
Dy 0.000 0.000 0.500 [1 per cell]
Tl 0.500 0.500 0.500 [1 per cell]

Summary:
Spin magnetization (μB/atom): 3.580
Density (g/cm³): 8.82
Density of states at the Fermi level (states/eV per cell): 3.0

***

<ii>
Here is a geometry-optimized Eu2DyTl structure from the Alexandria database. Energies are from PBE-GGA.

a = 3.6701 Å, b = 3.6701 Å, c = 38.0938 Å
α = 90.00°, β = 90.00°, γ = 120.00°
Space group R-3m (No. 166, hexagonal axes)
Inequivalent atoms, fractional coordinates:
Eu 0.0000 0.0000 0.0877 [6 per cell]
Dy 0.0000 0.0000 0.5000 [3 per cell]
Tl 0.0000 0.0000 0.0000 [3 per cell]

Summary:
Spin magnetization (μB/atom): 3.850
Density (g/cm³): 7.52
Density of states at the Fermi level (states/eV per cell): 12.9

***

Short version: <i>, <ii>, most stable first.